First-principles (PBE-GGA) data for CsCdInAu3 after structural relaxation, as listed in the Alexandria database.

The structure belongs to space group Cmcm (No. 63); the cell edges are 7.1383, 13.8989 and 7.7021 Å and the angles 90.00°, 90.00° and 90.00°. The asymmetric unit holds Cs at (0.0000, 0.2273, 0.2500), Cd at (0.0000, 0.4841, 0.7500), In at (0.0000, 0.0904, 0.7500), Au at (0.0000, 0.2845, 0.7500) and Au at (0.2171, 0.0000, 0.0000).

Its energy relative to the elements is -0.18 eV/atom. For the density, the calculation gives 8.3 g/cm³.